1.
# PBE-GGA Cr2Cd2As, relaxed
# DFT total energy (Ry/atom): -0.3294
# Total magnetization (μB/cell): 5.95
# Energy above the most stable polymorph in this dataset (meV per atom): 458
# DOS at the Fermi energy (states/eV per cell): 6.3
# Formation enthalpy at 0 K (eV per atom): 0.664
data_Cr2Cd2As
_cell_length_a 3.7931
_cell_length_b 3.7931
_cell_length_c 13.2144
_cell_angle_alpha 90.00
_cell_angle_beta 90.00
_cell_angle_gamma 90.00
_space_group_name_H-M_alt 'I 4/m m m'
_space_group_IT_number 139
_space_group_name_Hall '-I 4 2'
loop_
_atom_site_label
_atom_site_fract_x
_atom_site_fract_y
_atom_site_fract_z
Cr1 0.0000 0.0000 0.0735
Cd1 0.0000 0.5000 0.2500
As1 0.0000 0.0000 0.5000


2.
# PBE-GGA CrCdAs, relaxed
# DFT total energy (Ry/atom): -0.3589
# Total magnetization (μB/cell): 10.39
# Energy above the most stable polymorph in this dataset (meV per atom): 167
# DOS at the Fermi energy (states/eV per cell): 6.8
# Formation enthalpy at 0 K (eV per atom): 0.179
data_CrCdAs
_cell_length_a 4.5572
_cell_length_b 4.5675
_cell_length_c 10.6692
_cell_angle_alpha 90.00
_cell_angle_beta 90.00
_cell_angle_gamma 90.00
_space_group_name_H-M_alt 'F m m 2'
_space_group_IT_number 42
_space_group_name_Hall 'F 2 -2'
loop_
_atom_site_label
_atom_site_fract_x
_atom_site_fract_y
_atom_site_fract_z
Cr1 0.0000 0.0000 0.0000
Cd1 0.0000 0.0000 0.3099
As1 0.0000 0.0000 0.5997


3.
# PBE-GGA Cr2CdAs, relaxed
# DFT total energy (Ry/atom): -0.4429
# Total magnetization (μB/cell): 0.62
# Energy above the most stable polymorph in this dataset (meV per atom): 0
# DOS at the Fermi energy (states/eV per cell): 2.1
# Formation enthalpy at 0 K (eV per atom): 0.177
data_Cr2CdAs
_cell_length_a 2.9703
_cell_length_b 2.9703
_cell_length_c 7.6701
_cell_angle_alpha 90.00
_cell_angle_beta 90.00
_cell_angle_gamma 90.00
_space_group_name_H-M_alt 'P 4 m m'
_space_group_IT_number 99
loop_
_space_group_symop_operation_xyz
'x,y,z'
'-y,x,z'
'-x,-y,z'
'y,-x,z'
'-x,y,z'
'y,x,z'
'x,-y,z'
'-y,-x,z'
loop_
_atom_site_label
_atom_site_fract_x
_atom_site_fract_y
_atom_site_fract_z
Cr1 0.0000 0.0000 0.0000
Cr2 0.5000 0.5000 0.1587
Cd1 0.5000 0.5000 0.7377
As1 0.0000 0.0000 0.3628


4.
# PBE-GGA Cr2CdAs, relaxed
# DFT total energy (Ry/atom): -0.4338
# Total magnetization (μB/cell): 0.72
# Energy above the most stable polymorph in this dataset (meV per atom): 124
# DOS at the Fermi energy (states/eV per cell): 4.6
# Formation enthalpy at 0 K (eV per atom): 0.301
data_Cr2CdAs
_cell_length_a 8.3218
_cell_length_b 3.0243
_cell_length_c 5.6838
_cell_angle_alpha 90.00
_cell_angle_beta 97.70
_cell_angle_gamma 90.00
_space_group_name_H-M_alt 'C 1 m 1'
_space_group_IT_number 8
loop_
_space_group_symop_operation_xyz
'x,y,z'
'x,-y,z'
'x+1/2,y+1/2,z'
'x+1/2,-y+1/2,z'
loop_
_atom_site_label
_atom_site_fract_x
_atom_site_fract_y
_atom_site_fract_z
Cr1 0.0000 0.0000 0.0000
Cr2 0.2288 0.5000 0.1515
Cd1 0.4816 0.0000 0.4528
As1 0.2604 0.0000 0.7933


5.
# PBE-GGA Cr2CdAs, relaxed
# DFT total energy (Ry/atom): -0.4209
# Total magnetization (μB/cell): 0.00
# Energy above the most stable polymorph in this dataset (meV per atom): 299
# DOS at the Fermi energy (states/eV per cell): 13.3
# Formation enthalpy at 0 K (eV per atom): 0.477
data_Cr2CdAs
_cell_length_a 2.8822
_cell_length_b 2.8822
_cell_length_c 25.0269
_cell_angle_alpha 90.00
_cell_angle_beta 90.00
_cell_angle_gamma 120.00
_space_group_name_H-M_alt 'R -3 m'
_space_group_IT_number 166
_space_group_name_Hall '-R 3 2"'
loop_
_atom_site_label
_atom_site_fract_x
_atom_site_fract_y
_atom_site_fract_z
Cr1 0.0000 0.0000 0.2403
Cd1 0.0000 0.0000 0.0000
As1 0.0000 0.0000 0.5000


6.
# PBE-GGA Cr2CdAs, relaxed
# DFT total energy (Ry/atom): -0.4282
# Total magnetization (μB/cell): 13.99
# Energy above the most stable polymorph in this dataset (meV per atom): 199
# DOS at the Fermi energy (states/eV per cell): 4.5
# Formation enthalpy at 0 K (eV per atom): 0.377
data_Cr2CdAs
_cell_length_a 3.3532
_cell_length_b 3.7122
_cell_length_c 12.2161
_cell_angle_alpha 90.00
_cell_angle_beta 90.00
_cell_angle_gamma 90.00
_space_group_name_H-M_alt 'I m m 2'
_space_group_IT_number 44
loop_
_space_group_symop_operation_xyz
'x,y,z'
'-x,-y,z'
'-x,y,z'
'x,-y,z'
'x+1/2,y+1/2,z+1/2'
'-x+1/2,-y+1/2,z+1/2'
'-x+1/2,y+1/2,z+1/2'
'x+1/2,-y+1/2,z+1/2'
loop_
_atom_site_label
_atom_site_fract_x
_atom_site_fract_y
_atom_site_fract_z
Cr1 0.0000 0.0000 0.0000
Cr2 0.0000 0.5000 0.1996
Cd1 0.0000 0.5000 0.8115
As1 0.0000 0.0000 0.5437


7.
# PBE-GGA Cr2CdAs, relaxed
# DFT total energy (Ry/atom): -0.4237
# Total magnetization (μB/cell): 14.37
# Energy above the most stable polymorph in this dataset (meV per atom): 261
# DOS at the Fermi energy (states/eV per cell): 6.1
# Formation enthalpy at 0 K (eV per atom): 0.438
data_Cr2CdAs
_cell_length_a 3.8502
_cell_length_b 3.8502
_cell_length_c 9.4659
_cell_angle_alpha 90.00
_cell_angle_beta 90.00
_cell_angle_gamma 90.00
_space_group_name_H-M_alt 'I -4 m 2'
_space_group_IT_number 119
_space_group_name_Hall 'I -4 -2'
loop_
_atom_site_label
_atom_site_fract_x
_atom_site_fract_y
_atom_site_fract_z
Cr1 0.0000 0.0000 0.0000
Cr2 0.0000 0.5000 0.2500
Cd1 0.0000 0.0000 0.5000
As1 0.0000 0.5000 0.7500


8.
# PBE-GGA CrCdAs, relaxed
# DFT total energy (Ry/atom): -0.3561
# Total magnetization (μB/cell): 14.24
# Energy above the most stable polymorph in this dataset (meV per atom): 205
# DOS at the Fermi energy (states/eV per cell): 5.8
# Formation enthalpy at 0 K (eV per atom): 0.217
data_CrCdAs
_cell_length_a 6.2765
_cell_length_b 6.2765
_cell_length_c 6.2765
_cell_angle_alpha 90.00
_cell_angle_beta 90.00
_cell_angle_gamma 90.00
_space_group_name_H-M_alt 'F -4 3 m'
_space_group_IT_number 216
_space_group_name_Hall 'F -4 2 3'
loop_
_atom_site_label
_atom_site_fract_x
_atom_site_fract_y
_atom_site_fract_z
Cr1 0.0000 0.0000 0.0000
Cd1 0.2500 0.2500 0.2500
As1 0.2500 0.2500 0.7500


9.
# PBE-GGA Cr2CdAs, relaxed
# DFT total energy (Ry/atom): -0.4276
# Total magnetization (μB/cell): 7.67
# Energy above the most stable polymorph in this dataset (meV per atom): 207
# DOS at the Fermi energy (states/eV per cell): 3.1
# Formation enthalpy at 0 K (eV per atom): 0.385
data_Cr2CdAs
_cell_length_a 4.4499
_cell_length_b 4.4499
_cell_length_c 3.5640
_cell_angle_alpha 90.00
_cell_angle_beta 90.00
_cell_angle_gamma 90.00
_space_group_name_H-M_alt 'P 4/m m m'
_space_group_IT_number 123
_space_group_name_Hall '-P 4 2'
loop_
_atom_site_label
_atom_site_fract_x
_atom_site_fract_y
_atom_site_fract_z
Cr1 0.0000 0.5000 0.0000
Cd1 0.0000 0.0000 0.5000
As1 0.5000 0.5000 0.5000


10.
# PBE-GGA Cr2CdAs, relaxed
# DFT total energy (Ry/atom): -0.4233
# Total magnetization (μB/cell): 1.83
# Energy above the most stable polymorph in this dataset (meV per atom): 266
# DOS at the Fermi energy (states/eV per cell): 12.0
# Formation enthalpy at 0 K (eV per atom): 0.443
data_Cr2CdAs
_cell_length_a 6.5160
_cell_length_b 6.5160
_cell_length_c 6.5160
_cell_angle_alpha 90.00
_cell_angle_beta 90.00
_cell_angle_gamma 90.00
_space_group_name_H-M_alt 'F -4 3 m'
_space_group_IT_number 216
_space_group_name_Hall 'F -4 2 3'
loop_
_atom_site_label
_atom_site_fract_x
_atom_site_fract_y
_atom_site_fract_z
Cr1 0.0000 0.0000 0.0000
Cr2 0.2500 0.2500 0.2500
Cd1 0.2500 0.2500 0.7500
As1 0.0000 0.0000 0.5000


11.
# PBE-GGA Cr2CdAs, relaxed
# DFT total energy (Ry/atom): -0.4233
# Total magnetization (μB/cell): 31.80
# Energy above the most stable polymorph in this dataset (meV per atom): 267
# DOS at the Fermi energy (states/eV per cell): 10.1
# Formation enthalpy at 0 K (eV per atom): 0.444
data_Cr2CdAs
_cell_length_a 6.5869
_cell_length_b 6.5869
_cell_length_c 6.5869
_cell_angle_alpha 90.00
_cell_angle_beta 90.00
_cell_angle_gamma 90.00
_space_group_name_H-M_alt 'F m -3 m'
_space_group_IT_number 225
_space_group_name_Hall '-F 4 2 3'
loop_
_atom_site_label
_atom_site_fract_x
_atom_site_fract_y
_atom_site_fract_z
Cr1 0.2500 0.2500 0.2500
Cd1 0.0000 0.0000 0.0000
As1 0.0000 0.0000 0.5000


12.
# PBE-GGA CrCdAs3, relaxed
# DFT total energy (Ry/atom): -0.3358
# Total magnetization (μB/cell): 1.16
# Energy above the most stable polymorph in this dataset (meV per atom): 0
# DOS at the Fermi energy (states/eV per cell): 2.7
# Formation enthalpy at 0 K (eV per atom): 0.329
data_CrCdAs3
_cell_length_a 4.7250
_cell_length_b 4.7250
_cell_length_c 4.7250
_cell_angle_alpha 90.00
_cell_angle_beta 90.00
_cell_angle_gamma 90.00
_space_group_name_H-M_alt 'P m -3 m'
_space_group_IT_number 221
_space_group_name_Hall '-P 4 2 3'
loop_
_atom_site_label
_atom_site_fract_x
_atom_site_fract_y
_atom_site_fract_z
Cr1 0.0000 0.0000 0.0000
Cd1 0.5000 0.5000 0.5000
As1 0.0000 0.0000 0.5000


Repeat the twelfth record exactly.
# PBE-GGA CrCdAs3, relaxed
# DFT total energy (Ry/atom): -0.3358
# Total magnetization (μB/cell): 1.16
# Energy above the most stable polymorph in this dataset (meV per atom): 0
# DOS at the Fermi energy (states/eV per cell): 2.7
# Formation enthalpy at 0 K (eV per atom): 0.329
data_CrCdAs3
_cell_length_a 4.7250
_cell_length_b 4.7250
_cell_length_c 4.7250
_cell_angle_alpha 90.00
_cell_angle_beta 90.00
_cell_angle_gamma 90.00
_space_group_name_H-M_alt 'P m -3 m'
_space_group_IT_number 221
_space_group_name_Hall '-P 4 2 3'
loop_
_atom_site_label
_atom_site_fract_x
_atom_site_fract_y
_atom_site_fract_z
Cr1 0.0000 0.0000 0.0000
Cd1 0.5000 0.5000 0.5000
As1 0.0000 0.0000 0.5000


Question: Look up the total magnetization of the twelfth one.
Answer: 1.16 μB/cell